1.
The following is a DFT calculation (PBE-GGA) of a geometry-optimized Cd6Pd3Pt structure.

Its energy of formation from the pure elements is -305 meV per atom. The energy above the most stable polymorph in this dataset is 0 meV per atom. As for the space group: No. 11.

a = 4.8088 Å, b = 7.8449 Å, c = 10.4565 Å
α = 112.38°, β = 90.00°, γ = 90.00°
Positions (direct):
1 Cd 0.7500 0.8359 0.8323
2 Pd 0.2500 0.5461 0.3746
3 Cd 0.7500 0.9247 0.1318
4 Pd 0.7500 0.4539 0.6254
5 Cd 0.7500 0.3425 0.3285
6 Cd 0.2500 0.4725 0.0764
7 Pt 0.7500 0.0415 0.4211
8 Pd 0.2500 0.7751 0.9760
9 Cd 0.7500 0.1506 0.7110
10 Pt 0.2500 0.9585 0.5789
11 Cd 0.7500 0.7418 0.5095
12 Cd 0.2500 0.6575 0.6715
13 Cd 0.2500 0.8494 0.2890
14 Pd 0.7500 0.2249 0.0240
15 Cd 0.2500 0.1641 0.1677
16 Pd 0.2500 0.3755 0.7811
17 Cd 0.7500 0.5275 0.9236
18 Pd 0.7500 0.6245 0.2189
19 Cd 0.2500 0.2582 0.4905
20 Cd 0.2500 0.0753 0.8682

2.
The following is a DFT calculation (PBE-GGA) of a geometry-optimized Al2CrB2Mo structure.

Its energy of formation from the pure elements is -402 meV per atom. As for the space group: No. 38.

a = 7.1227 Å, b = 7.1227 Å, c = 3.0553 Å
α = 90.00°, β = 90.00°, γ = 154.62°
Positions (direct):
1 B 0.4640 0.5360 0.5000
2 B 0.5288 0.4712 0.0000
3 Al 0.6994 0.3006 0.0000
4 Mo 0.0872 0.9128 0.5000
5 Cr 0.9130 0.0870 0.0000
6 Al 0.3076 0.6924 0.5000

3.
The following is a DFT calculation (PBE-GGA) of a geometry-optimized Ca2MgGe4Rh3 structure.

Its energy of formation from the pure elements is -607 meV per atom. As for the space group: No. 115.

a = 4.2253 Å, b = 4.2253 Å, c = 10.6726 Å
α = 90.00°, β = 90.00°, γ = 90.00°
Positions (direct):
1 Ge 0.0000 0.5000 0.3538
2 Ca 0.0000 0.5000 0.7588
3 Rh 0.0000 0.0000 0.5000
4 Ge 0.5000 0.0000 0.6462
5 Ge 0.0000 0.0000 0.0000
6 Rh 0.5000 0.0000 0.8770
7 Mg 0.5000 0.5000 0.5000
8 Ca 0.5000 0.0000 0.2412
9 Rh 0.0000 0.5000 0.1230
10 Ge 0.5000 0.5000 0.0000

4.
The following is a DFT calculation (PBE-GGA) of a geometry-optimized Li3Hf2ScS6 structure.

The formation energy from raw total energies is -1.59 eV/atom. As for the space group: No. 12.

a = 6.2649 Å, b = 6.2649 Å, c = 6.5298 Å
α = 99.19°, β = 99.19°, γ = 120.01°
Positions (direct):
1 Hf 0.3334 0.6666 0.0000
2 S 0.5812 0.9180 0.7539
3 S 0.0820 0.4188 0.2461
4 Li 0.1664 0.8336 0.5000
5 S 0.9180 0.5812 0.7539
6 S 0.4188 0.0820 0.2461
7 Hf 0.6666 0.3334 0.0000
8 Li 0.8336 0.1664 0.5000
9 Sc 0.0000 0.0000 0.0000
10 S 0.2546 0.2546 0.7534
11 S 0.7454 0.7454 0.2466
12 Li 0.5000 0.5000 0.5000

5.
The following is a DFT calculation (PBE-GGA) of a geometry-optimized Nb2CdTeS structure.

The formation energy from raw total energies is 1.43 eV/atom. As for the space group: No. 123.

a = 5.1208 Å, b = 5.3491 Å, c = 5.1208 Å
α = 90.00°, β = 90.00°, γ = 90.00°
Positions (direct):
1 S 0.5000 0.5000 0.5000
2 Nb 0.5000 0.0000 0.0000
3 Te 0.0000 0.0000 0.0000
4 Nb 0.0000 0.0000 0.5000
5 Cd 0.0000 0.5000 0.0000

6.
The following is a DFT calculation (PBE-GGA) of a geometry-optimized AcTb3Dy3 structure.

Its energy of formation from the pure elements is 38 meV per atom. As for the space group: No. 1.

a = 18.0731 Å, b = 8.0658 Å, c = 10.8520 Å
α = 94.23°, β = 126.91°, γ = 119.57°
Positions (direct):
1 Dy 0.9813 0.7828 0.5458
2 Tb 0.2359 0.7868 0.8047
3 Tb 0.7280 0.7830 0.2931
4 Tb 0.5477 0.6344 0.8365
5 Dy 0.3063 0.6484 0.5971
6 Dy 0.6199 0.4906 0.6189
7 Ac 0.1669 0.9306 0.0197
8 Dy 0.6553 0.9272 0.5081
9 Tb 0.6939 0.3514 0.4033
10 Dy 0.1297 0.5068 0.1317
11 Dy 0.4825 0.7862 0.0540
12 Ac 0.0926 0.0737 0.2425
13 Tb 0.3803 0.5094 0.3812
14 Dy 0.5846 0.0695 0.7283
15 Ac 0.8330 0.0693 0.9803
16 Dy 0.2721 0.2175 0.7071
17 Tb 0.4158 0.9311 0.2721
18 Tb 0.2016 0.3691 0.9147
19 Dy 0.4525 0.3659 0.1637
20 Dy 0.7641 0.2137 0.1951
21 Tb 0.8704 0.4934 0.8684
22 Dy 0.9435 0.3570 0.6527
23 Tb 0.3444 0.0723 0.4918
24 Ac 0.9072 0.9265 0.7571
25 Tb 0.5176 0.2135 0.9462
26 Dy 0.7982 0.6307 0.0853
27 Tb 0.0565 0.6431 0.3470
28 Tb 0.0183 0.2163 0.4539

7.
The following is a DFT calculation (PBE-GGA) of a geometry-optimized MnFePt2 structure.

Its energy of formation from the pure elements is -156 meV per atom. As for the space group: No. 166.

a = 8.8439 Å, b = 8.8439 Å, c = 8.8439 Å
α = 18.14°, β = 18.14°, γ = 18.14°
Last column: magnetic moment on the atom in μB.
Positions (direct):
1 Fe 0.7500 0.7500 0.7500  2.97
2 Pt 0.4993 0.4993 0.4993  0.35
3 Pt 0.0007 0.0007 0.0007  0.35
4 Mn 0.2500 0.2500 0.2500  3.67

8.
The following is a DFT calculation (PBE-GGA) of a geometry-optimized Rb3U3PdSe8 structure.

The formation energy from raw total energies is -1.07 eV/atom. As for the space group: No. 12.

a = 8.3159 Å, b = 8.1413 Å, c = 9.3718 Å
α = 114.69°, β = 90.00°, γ = 120.71°
Last column: magnetic moment on the atom in μB.
Positions (direct):
1 Se 0.2662 0.5324 0.2996  -0.05
2 Se 0.7338 0.4676 0.7004  -0.05
3 Se 0.2838 0.0451 0.3040  -0.07
4 Se 0.2387 0.9549 0.6960  -0.07
5 Se 0.7834 0.5669 0.3207  -0.04
6 U 0.5000 0.0000 0.5000  2.15
7 Se 0.7613 0.0451 0.3040  -0.07
8 U 0.5000 0.5000 0.5000  2.13
9 U 0.0000 0.5000 0.5000  2.13
10 Se 0.2166 0.4331 0.6793  -0.04
11 Rb 0.5000 0.5000 0.0000  0.00
12 Rb 0.0000 0.5000 0.0000  0.00
13 Pd 0.0000 0.0000 0.5000  0.03
14 Se 0.7162 0.9549 0.6960  -0.07
15 Rb 0.0000 0.0000 0.0000  0.00

9.
The following is a DFT calculation (PBE-GGA) of a geometry-optimized CePaSi3 structure.

The formation energy from raw total energies is -0.59 eV/atom. As for the space group: No. 63.

a = 4.1318 Å, b = 4.0149 Å, c = 12.4861 Å
α = 90.00°, β = 99.52°, γ = 90.00°
Positions (direct):
1 Si 0.6199 0.7500 0.2397
2 Si 0.3801 0.2500 0.7603
3 Ce 0.0708 0.2500 0.1416
4 Si 0.6769 0.2500 0.3538
5 Si 0.3231 0.7500 0.6462
6 Pa 0.2044 0.7500 0.4087
7 Si 0.5244 0.7500 0.0488
8 Pa 0.7956 0.2500 0.5913
9 Ce 0.9292 0.7500 0.8584
10 Si 0.4756 0.2500 0.9512

10.
The following is a DFT calculation (PBE-GGA) of a geometry-optimized AlTlPb2 structure.

Its energy of formation from the pure elements is 183 meV per atom. The energy above the most stable polymorph in this dataset is 70 meV per atom. As for the space group: No. 139.

a = 5.8103 Å, b = 5.8103 Å, c = 5.8103 Å
α = 129.49°, β = 129.49°, γ = 74.23°
Positions (direct):
1 Pb 0.0000 0.0000 0.0000
2 Tl 0.2500 0.7500 0.5000
3 Pb 0.5000 0.5000 0.0000
4 Al 0.7500 0.2500 0.5000

11.
The following is a DFT calculation (PBE-GGA) of a geometry-optimized PmErThHg structure.

Its energy of formation from the pure elements is 37 meV per atom. As for the space group: No. 216.

a = 5.4546 Å, b = 5.4546 Å, c = 5.4546 Å
α = 60.00°, β = 60.00°, γ = 60.00°
Positions (direct):
1 Pm 0.0000 0.0000 0.0000
2 Th 0.7500 0.7500 0.7500
3 Er 0.2500 0.2500 0.2500
4 Hg 0.5000 0.5000 0.5000

12.
The following is a DFT calculation (PBE-GGA) of a geometry-optimized CsRb2AgCl4 structure.

The formation energy from raw total energies is -1.58 eV/atom. As for the space group: No. 63.

a = 4.6054 Å, b = 8.1495 Å, c = 16.2803 Å
α = 90.00°, β = 90.00°, γ = 106.41°
Positions (direct):
1 Rb 0.3675 0.7349 0.9485
2 Rb 0.3675 0.7349 0.5515
3 Rb 0.6325 0.2651 0.0515
4 Cs 0.1094 0.2188 0.7500
5 Cl 0.7320 0.4640 0.6275
6 Rb 0.6325 0.2651 0.4485
7 Cl 0.5730 0.1460 0.2500
8 Cl 0.0000 0.0000 0.0000
9 Cl 0.7320 0.4640 0.8725
10 Cl 0.4270 0.8540 0.7500
11 Ag 0.8392 0.6785 0.7500
12 Cs 0.8906 0.7812 0.2500
13 Cl 0.2680 0.5360 0.3725
14 Cl 0.0000 0.0000 0.5000
15 Cl 0.2680 0.5360 0.1275
16 Ag 0.1608 0.3215 0.2500

Looking at total DFT energy (no corrections) for the records above, in order, we have -0.1109; -0.2677; -0.1918; -0.2323; -0.1555; -0.1656; -0.2787; -0.2105; -0.2547; -0.1175; -0.1551; -0.1178 hartree per atom.
Looking at DOS at the Fermi energy for the records above, in order, we have 0.366; 0.250; 0.591; 0.314; 1.103; 1.359; 0.718; 1.265; 1.576; 0.516; 1.770; 0.000 states/eV per atom.
Looking at density for the records above, in order, we have 10.824; 5.587; 6.133; 4.857; 5.421; 8.496; 14.205; 5.950; 7.404; 9.414; 10.779; 3.136 Mg/m³.